Here is a relaxed CeCr2SbO8 crystal from the Alexandria database. Energies are from PBE+U.

Computed properties:
For the raw total energy, the calculation gives -7.35 eV per atom. As for the calculated density: 5.61 g cm⁻³.

Cell: 4.7174 4.7162 6.5651 Å, 90.00 90.00 89.53°
With the nearest neighbours (Å) after each atom.
Sites, in units of the cell vectors:
Sb (0.0000, 0.0000, 0.0000)  6 O 1.99-2.06
O (0.6927, 0.6932, 0.0000)  2 Cr 2.04, 1 Sb 2.06
O (0.6742, 0.6748, 0.5000)  2 Cr 2.06, 1 Ce 2.18
O (0.2014, 0.7981, 0.7753)  1 Cr 1.98, 1 Sb 1.99
O (0.3073, 0.3068, 0.0000)  2 Cr 2.04, 1 Sb 2.06
O (0.7986, 0.2019, 0.2247)  1 Cr 1.98, 1 Sb 1.99
O (0.7986, 0.2019, 0.7753)  1 Cr 1.98, 1 Sb 1.99
O (0.3258, 0.3252, 0.5000)  2 Cr 2.06, 1 Ce 2.18
O (0.2014, 0.7981, 0.2247)  1 Cr 1.98, 1 Sb 1.99
Ce (0.0000, 0.0000, 0.5000)  6 O 2.18-2.25
Cr (0.5000, 0.5000, 0.2408)  6 O 1.98-2.06
Cr (0.5000, 0.5000, 0.7592)  6 O 1.98-2.06